[1]
Material: CaTlPO4
Method: DFT, PBE
State: optimized geometry

Calculated values
Formation energy without anion corrections = -2346 meV/atom
SG = P2_1/m
Spin magnetization = 0.00 μB/f.u.

Lattice parameters (Å, degrees): 5.8036 5.6241 7.6933 90.00 105.54 90.00
Atoms (fractional coordinates):
Ca (0.2276, 0.2500, 0.0611)
Ca (0.7724, 0.7500, 0.9389)
Tl (0.2893, 0.2500, 0.6015)
Tl (0.7107, 0.7500, 0.3985)
P (0.2444, 0.7500, 0.8504)
P (0.7556, 0.2500, 0.1496)
O (0.0756, 0.5282, 0.8256)
O (0.0756, 0.9718, 0.8256)
O (0.4004, 0.7500, 0.7149)
O (0.4136, 0.7500, 0.0459)
O (0.5864, 0.2500, 0.9541)
O (0.5996, 0.2500, 0.2851)
O (0.9244, 0.0282, 0.1744)
O (0.9244, 0.4718, 0.1744)

***

[2]
Material: BaTlI4
Method: DFT, PBE
State: optimized geometry

Calculated values
Formation energy without anion corrections = -1019 meV/atom
SG = P2_1/m
Spin magnetization = 0.00 μB/f.u.

Lattice parameters (Å, degrees): 6.8397 11.5550 9.2162 90.00 109.06 90.00
Atoms (fractional coordinates):
Ba (0.0831, 0.2500, 0.1323)
Ba (0.9169, 0.7500, 0.8677)
Tl (0.2773, 0.7500, 0.4373)
Tl (0.7227, 0.2500, 0.5627)
I (0.0986, 0.5619, 0.1857)
I (0.0986, 0.9381, 0.1857)
I (0.2536, 0.2500, 0.5283)
I (0.3893, 0.7500, 0.8040)
I (0.6107, 0.2500, 0.1960)
I (0.7464, 0.7500, 0.4717)
I (0.9014, 0.0619, 0.8143)
I (0.9014, 0.4381, 0.8143)